Entry from the Alexandria database: a geometry-optimized Ac6FeRh structure (PBE).

Output
M_tot   0.0 μB/f.u.
Energy of formation   -122 meV/atom
Calculated density   8.20 g/cm3

Structure (POSCAR):
```
Ac6FeRh
1.0
-6.633 1.671 -2.146
4.837 -2.299 -4.766
-4.012 -13.061 2.229
Ac Fe Rh
12 2 2
direct
0.326 0.328 0.379
0.674 0.672 0.621
0.003 0.674 0.379
0.326 0.997 0.121
0.997 0.326 0.621
0.674 0.003 0.879
0.672 0.997 0.379
0.003 0.328 0.121
0.328 0.003 0.621
0.997 0.672 0.879
0.672 0.674 0.121
0.328 0.326 0.879
0.000 0.000 0.500
0.000 0.000 0.000
0.333 0.667 0.250
0.667 0.333 0.750
```